[1]
VOs3Ru3 | PBE | optimized geometry

Properties
As for the symmetry: P6_3/m. The value obtained for the energy of formation is -0.061 eV/atom.

POSCAR file:
```
VOs3Ru3
1.0
7.223 0.000 0.000
-3.611 6.255 0.000
0.000 0.000 4.338
V Os Ru
2 6 6
Direct
0.333 0.667 0.250
0.667 0.333 0.750
0.096 0.477 0.750
0.381 0.904 0.750
0.477 0.381 0.250
0.523 0.619 0.750
0.619 0.096 0.250
0.904 0.523 0.250
0.049 0.240 0.250
0.191 0.951 0.250
0.240 0.191 0.750
0.760 0.809 0.250
0.809 0.049 0.750
0.951 0.760 0.750
```



[2]
Ho5Zn4Hg | PBE | optimized geometry

Properties
As for the symmetry: P4/mmm. The value obtained for the energy of formation is -0.372 eV/atom.

POSCAR file:
```
Ho5Zn4Hg
1.0
3.568 0.000 0.000
0.000 3.568 0.000
0.000 0.000 18.073
Ho Zn Hg
5 4 1
Direct
0.000 0.000 0.000
0.000 0.000 0.195
0.000 0.000 0.390
0.000 0.000 0.610
0.000 0.000 0.805
0.500 0.500 0.098
0.500 0.500 0.292
0.500 0.500 0.708
0.500 0.500 0.902
0.500 0.500 0.500
```



[3]
BaY3Bi | PBE | optimized geometry

Properties
As for the symmetry: Pm-3m. Its energy above the lowest structure with this stoichiometry is 825 meV per atom. The value obtained for the energy of formation is 0.944 eV/atom.

POSCAR file:
```
BaY3Bi
1.0
5.683 0.000 0.000
0.000 5.683 0.000
0.000 0.000 5.683
Ba Y Bi
1 3 1
Direct
0.000 0.000 0.000
0.000 0.000 0.500
0.000 0.500 0.000
0.500 0.000 0.000
0.500 0.500 0.500
```



Calculated N(E_F), 17.58 10.38 4.77 states/eV/cell (same order as the records).
Calculated DFT total energy, -0.74611 -0.23523 -0.30098 Ry/atom (same order as the records).
Calculated total moment, 0.000 0.000 0.000 μB per formula unit (same order as the records).